1.
SmRu2PbO8: optimized geometry, GGA-PBE.

Summary:
energy relative to the elements, uncorrected = -15.43 eV per formula unit
V = 18.71 Å³/atom
space-group type = P-3m1
density = 5.09 g cm⁻³
electronic total energy = -6.840 eV per atom

abc: 5.9882 5.9882 7.2297
angles: 90.00 90.00 120.00
Last column: nearest neighbours and their distance in Å.
Atoms (fractional coordinates):
Sm1 0.0000 0.0000 0.5000  6 O 2.32
Ru1 0.6667 0.3333 0.2078  4 O 1.76-1.83
Ru2 0.3333 0.6667 0.7922  4 O 1.76-1.83
Pb1 0.0000 0.0000 0.0000  6 O 2.67
O1 0.3333 0.6667 0.0363  1 Ru 1.76
O2 0.3296 0.1656 0.2834  1 Ru 1.83
O3 0.8344 0.1640 0.2834  1 Ru 1.83
O4 0.6667 0.3333 0.9637  1 Ru 1.76
O5 0.1656 0.8360 0.7166  1 Ru 1.83
O6 0.6704 0.8344 0.7166  1 Ru 1.83
O7 0.1640 0.3296 0.7166  1 Ru 1.83
O8 0.8360 0.6704 0.2834  1 Ru 1.83

---

2.
NbHgRu3: optimized geometry, GGA-PBE.

Summary:
relative energy among the computed polymorphs = 894 meV per atom
formation energy = 2.355 eV/atom
V = 22.47 Å³/atom
space-group type = Pm-3m
density = 8.82 g cm⁻³
electronic total energy = -5.285 eV per atom

abc: 4.8254 4.8254 4.8254
angles: 90.00 90.00 90.00
Last column: nearest neighbours and their distance in Å.
Atoms (fractional coordinates):
Ru1 0.0000 0.5000 0.0000  2 Hg 2.41
Ru2 0.0000 0.0000 0.5000  2 Hg 2.41
Ru3 0.5000 0.0000 0.0000  2 Hg 2.41
Nb1 0.5000 0.5000 0.5000  12 Ru 3.41
Hg1 0.0000 0.0000 0.0000  6 Ru 2.41

---

3.
LaCoMo2: optimized geometry, GGA-PBE.

Summary:
relative energy among the computed polymorphs = 23 meV per atom
formation energy = 0.340 eV/atom
V = 21.11 Å³/atom
space-group type = Cm
density = 7.67 g cm⁻³
electronic total energy = -8.084 eV per atom

abc: 4.2493 4.2493 5.9363
angles: 68.99 68.99 59.91
Last column: nearest neighbours and their distance in Å.
Atoms (fractional coordinates):
Co1 0.4410 0.4410 0.6777  6 Mo 2.46-2.65
La1 0.2502 0.2502 0.2481  4 Co 3.08-3.38, 4 Mo 3.21-3.32
Mo1 0.0456 0.0456 0.8634  3 Mo 2.59, 3 Co 2.65
Mo2 0.7631 0.7631 0.7109  3 Co 2.46, 3 Mo 2.59

---

Look up the density of the first one. 5.09 g cm⁻³

---

Copy entry 2 word for word.
NbHgRu3: optimized geometry, GGA-PBE.

Summary:
relative energy among the computed polymorphs = 894 meV per atom
formation energy = 2.355 eV/atom
V = 22.47 Å³/atom
space-group type = Pm-3m
density = 8.82 g cm⁻³
electronic total energy = -5.285 eV per atom

abc: 4.8254 4.8254 4.8254
angles: 90.00 90.00 90.00
Last column: nearest neighbours and their distance in Å.
Atoms (fractional coordinates):
Ru1 0.0000 0.5000 0.0000  2 Hg 2.41
Ru2 0.0000 0.0000 0.5000  2 Hg 2.41
Ru3 0.5000 0.0000 0.0000  2 Hg 2.41
Nb1 0.5000 0.5000 0.5000  12 Ru 3.41
Hg1 0.0000 0.0000 0.0000  6 Ru 2.41

---

Look up the density of the third one. 7.67 g cm⁻³